VASP calculation (PBE) on an optimized crystal structure of NaErSn2Se4.

- Formation energy from raw total energies: -0.995 eV/atom
- E_tot: -4.473 eV per atom
- Space group: P2/m

```
8
Lattice="7.2714 0.0000 0.0000 0.0000 4.2039 0.0000 -2.3254 0.0000 6.9888" Properties=species:S:1:pos:R:3 pbc="T T T"
Na 0.0000 0.0000 0.0000
Er 3.6357 2.1019 0.0000
Sn -1.1627 2.1019 3.4944
Sn 2.4730 0.0000 3.4944
Se 1.3335 2.1019 1.6858
Se 0.1427 0.0000 5.3595
Se 4.8033 0.0000 1.6293
Se 3.6124 2.1019 5.3030
```